Record 1
# RbTaFe2, relaxed, DFT PBE
# Formation energy ... 1.651 eV per atom
# E above lowest polymorph ... 0 meV/atom
# DFT total energy ... -5.79 eV per atom
# N(E_F) ... 8.63 states/eV/f.u.
data_RbTaFe2
_chemical_formula_sum 'Rb4 Ta4 Fe8'
_cell_length_a 4.949
_cell_length_b 4.949
_cell_length_c 16.129
_cell_angle_alpha 90.00
_cell_angle_beta 90.00
_cell_angle_gamma 90.00
_space_group_name_H-M_alt 'I 41/a m d'
_space_group_IT_number 141
loop_
_space_group_symop_operation_xyz
'x,y,z'
'-x,-y,-z'
'-y+1/4,x+3/4,z+1/4'
'y+1/4,-x+3/4,-z+1/4'
'-x+1/2,-y,z+1/2'
'x+1/2,y,-z+1/2'
'y+1/4,-x+1/4,z+3/4'
'-y+1/4,x+1/4,-z+3/4'
'x,-y,-z'
'-x,y,z'
'-y+1/4,-x+1/4,-z+3/4'
'y+1/4,x+1/4,z+3/4'
'-x+1/2,y,-z+1/2'
'x+1/2,-y,z+1/2'
'y+1/4,x+3/4,-z+1/4'
'-y+1/4,-x+3/4,z+1/4'
'x+1/2,y+1/2,z+1/2'
'-x+1/2,-y+1/2,-z+1/2'
'-y+3/4,x+1/4,z+3/4'
'y+3/4,-x+1/4,-z+3/4'
'-x,-y+1/2,z'
'x,y+1/2,-z'
'y+3/4,-x+3/4,z+1/4'
'-y+3/4,x+3/4,-z+1/4'
'x+1/2,-y+1/2,-z+1/2'
'-x+1/2,y+1/2,z+1/2'
'-y+3/4,-x+3/4,-z+1/4'
'y+3/4,x+3/4,z+1/4'
'-x,y+1/2,-z'
'x,-y+1/2,z'
'y+3/4,x+1/4,-z+3/4'
'-y+3/4,-x+1/4,z+3/4'
loop_
_atom_site_label
_atom_site_fract_x
_atom_site_fract_y
_atom_site_fract_z
Rb1 0.000 0.250 0.375
Ta1 0.000 0.250 0.875
Fe1 0.000 0.000 0.000

---

Record 2
# CrWAu, relaxed, DFT PBE
# Formation energy ... 0.499 eV per atom
# E above lowest polymorph ... 127 meV/atom
# DFT total energy ... -8.12 eV per atom
# N(E_F) ... 3.49 states/eV/f.u.
data_CrWAu
_chemical_formula_sum 'Cr1 W1 Au1'
_cell_length_a 4.4688
_cell_length_b 4.4688
_cell_length_c 2.6526
_cell_angle_alpha 90.00
_cell_angle_beta 90.00
_cell_angle_gamma 120.00
_space_group_name_H-M_alt 'P 3 m 1'
_space_group_IT_number 156
loop_
_space_group_symop_operation_xyz
'x,y,z'
'-y,x-y,z'
'-x+y,-x,z'
'-y,-x,z'
'-x+y,y,z'
'x,x-y,z'
loop_
_atom_site_label
_atom_site_fract_x
_atom_site_fract_y
_atom_site_fract_z
Cr1 0.0000 0.0000 0.0000
W1 0.3333 0.6667 0.2633
Au1 0.6667 0.3333 0.6954